No. 1
Below is a geometry-optimized ReBr2N structure, with properties calculated at the PBE level.

Computed properties:
E_tot = -32.484 eV for the cell shown

a = 6.1575 Å, b = 6.1575 Å, c = 6.0353 Å
α = 59.33°, β = 59.33°, γ = 90.00°
Last column: nearest neighbours and their distance in Å.
Fractional positions:
Re: 0.0000 0.0000 0.0000  4 Br 2.42
Re: 0.7500 0.2500 0.5000  4 Br 2.42
Br: 0.6236 0.1250 0.2500  2 N 2.41, 2 Re 2.42
Br: 0.1264 0.6250 0.2500  2 N 2.41, 2 Re 2.42
Br: 0.3750 0.3764 0.7500  2 N 2.41, 2 Re 2.42
Br: 0.8750 0.8736 0.7500  2 N 2.41, 2 Re 2.42
N: 0.5000 0.5000 0.0000  4 Br 2.41
N: 0.2500 0.7500 0.5000  4 Br 2.41


No. 2
Below is a geometry-optimized Pr2TcBr structure, with properties calculated at the PBE level.

Computed properties:
E_tot = -23.739 eV for the cell shown

a = 3.5603 Å, b = 3.5603 Å, c = 8.2391 Å
α = 90.00°, β = 90.00°, γ = 90.00°
Last column: nearest neighbours and their distance in Å.
Fractional positions:
Pr: 0.0000 0.0000 0.7914  4 Tc 3.05
Pr: 0.0000 0.0000 0.2086  4 Tc 3.05
Tc: 0.5000 0.5000 0.0000  8 Pr 3.05
Br: 0.5000 0.5000 0.5000  8 Pr 3.48, 4 Br 3.56


No. 3
Below is a geometry-optimized ZnNi3Pt12 structure, with properties calculated at the PBE level.

Computed properties:
E_tot = -93.333 eV for the cell shown
DFT formation energy = -0.139 eV per atom

a = 3.8863 Å, b = 3.8863 Å, c = 15.6595 Å
α = 90.00°, β = 90.00°, γ = 90.00°
Last column: nearest neighbours and their distance in Å.
Fractional positions:
Zn: 0.0000 0.0000 0.0000  12 Pt 2.75-2.79
Ni: 0.0000 0.0000 0.2528  12 Pt 2.74-2.76
Ni: 0.0000 0.0000 0.5000  12 Pt 2.75
Ni: 0.0000 0.0000 0.7472  12 Pt 2.74-2.76
Pt: 0.5000 0.5000 0.0000  4 Zn 2.75, 8 Pt 2.79
Pt: 0.5000 0.5000 0.2514  8 Pt 2.75, 4 Ni 2.75
Pt: 0.5000 0.5000 0.5000  8 Pt 2.75, 4 Ni 2.75
Pt: 0.5000 0.5000 0.7486  8 Pt 2.75, 4 Ni 2.75
Pt: 0.5000 0.0000 0.1276  8 Pt 2.75-2.79, 2 Ni 2.76, 2 Zn 2.79
Pt: 0.5000 0.0000 0.3761  4 Ni 2.74-2.75, 8 Pt 2.75
Pt: 0.5000 0.0000 0.6239  4 Ni 2.74-2.75, 8 Pt 2.75
Pt: 0.5000 0.0000 0.8724  8 Pt 2.75-2.79, 2 Ni 2.76, 2 Zn 2.79
Pt: 0.0000 0.5000 0.1276  8 Pt 2.75-2.79, 2 Ni 2.76, 2 Zn 2.79
Pt: 0.0000 0.5000 0.3761  4 Ni 2.74-2.75, 8 Pt 2.75
Pt: 0.0000 0.5000 0.6239  4 Ni 2.74-2.75, 8 Pt 2.75
Pt: 0.0000 0.5000 0.8724  8 Pt 2.75-2.79, 2 Ni 2.76, 2 Zn 2.79


No. 4
Below is a geometry-optimized DyYTe structure, with properties calculated at the PBE level.

Computed properties:
E_tot = -33.319 eV for the cell shown

a = 3.9885 Å, b = 6.2286 Å, c = 7.7894 Å
α = 106.94°, β = 90.00°, γ = 90.00°
Last column: nearest neighbours and their distance in Å.
Fractional positions:
Dy: 0.7500 0.1665 0.8910  4 Te 3.13-3.24
Dy: 0.2500 0.8335 0.1090  4 Te 3.13-3.24
Y: 0.2500 0.7885 0.5514  3 Te 3.12-3.14
Y: 0.7500 0.2115 0.4486  3 Te 3.12-3.14
Te: 0.7500 0.6249 0.7948  3 Y 3.12-3.14, 4 Dy 3.13-3.24
Te: 0.2500 0.3751 0.2052  3 Y 3.12-3.14, 4 Dy 3.13-3.24


No. 5
Below is a geometry-optimized CsNbHS2 structure, with properties calculated at the PBE level.

Computed properties:
E_tot = -25.524 eV for the cell shown

a = 4.9262 Å, b = 4.4107 Å, c = 4.9262 Å
α = 90.00°, β = 90.00°, γ = 90.00°
Last column: nearest neighbours and their distance in Å.
Fractional positions:
Cs: 0.5000 0.5000 0.5000  8 S 3.31, 4 H 3.48
H: 0.0000 0.5000 0.0000  2 Nb 2.21
Nb: 0.0000 0.0000 0.0000  2 H 2.21, 4 S 2.46
S: 0.0000 0.0000 0.5000  2 Nb 2.46
S: 0.5000 0.0000 0.0000  2 Nb 2.46


No. 6
Below is a geometry-optimized CaPRhCl2 structure, with properties calculated at the PBE level.

Computed properties:
E_tot = -21.654 eV for the cell shown

a = 4.9628 Å, b = 4.9628 Å, c = 4.5624 Å
α = 90.00°, β = 90.00°, γ = 90.00°
Last column: nearest neighbours and their distance in Å.
Fractional positions:
P: 0.0000 0.0000 0.5000  2 Rh 2.28
Ca: 0.5000 0.5000 0.5000  8 Cl 3.37, 4 P 3.51
Rh: 0.0000 0.0000 0.0000  2 P 2.28, 4 Cl 2.48
Cl: 0.0000 0.5000 0.0000  2 Rh 2.48
Cl: 0.5000 0.0000 0.0000  2 Rh 2.48


No. 7
Below is a geometry-optimized Ho4TmTh2 structure, with properties calculated at the PBE level.

Computed properties:
E_tot = -36.828 eV for the cell shown
DFT formation energy = 0.113 eV per atom

a = 3.4568 Å, b = 8.4591 Å, c = 8.8994 Å
α = 119.91°, β = 81.43°, γ = 98.49°
Last column: nearest neighbours and their distance in Å.
Fractional positions:
Tm: 0.0000 0.0000 0.0000  2 Th 3.25, 4 Ho 3.43-3.45, 2 Tm 3.46
Ho: 0.3614 0.7267 0.5788  1 Tm 3.43, 7 Ho 3.46-3.69, 2 Th 3.50-3.54
Ho: 0.9521 0.1627 0.7171  7 Ho 3.45-3.69, 1 Tm 3.45, 4 Th 3.50-3.69
Ho: 0.6386 0.2733 0.4212  1 Tm 3.43, 7 Ho 3.46-3.69, 2 Th 3.50-3.54
Ho: 0.0479 0.8373 0.2829  7 Ho 3.45-3.69, 1 Tm 3.45, 4 Th 3.50-3.69
Th: 0.4115 0.4137 0.1328  1 Tm 3.25, 3 Th 3.29-3.46, 5 Ho 3.50-3.64
Th: 0.5885 0.5863 0.8672  1 Tm 3.25, 3 Th 3.29-3.46, 5 Ho 3.50-3.64


No. 8
Below is a geometry-optimized Th2BeZnIr6 structure, with properties calculated at the PBE level.

Computed properties:
E_tot = -75.926 eV for the cell shown
DFT formation energy = -0.292 eV per atom

a = 6.3080 Å, b = 6.3080 Å, c = 6.3079 Å
α = 60.00°, β = 60.00°, γ = 90.00°
Last column: nearest neighbours and their distance in Å.
Fractional positions:
Th: 0.2500 0.7500 0.5000  12 Ir 3.16
Th: 0.7500 0.2500 0.5000  12 Ir 3.16
Be: 0.0000 0.0000 0.0000  6 Ir 2.10
Zn: 0.5000 0.5000 0.0000  6 Ir 2.36
Ir: 0.2356 0.7644 0.0000  1 Be 2.10
Ir: 0.7644 0.7644 0.0000  1 Be 2.10
Ir: 0.2356 0.2356 0.5287  1 Be 2.10
Ir: 0.7644 0.2356 0.0000  1 Be 2.10
Ir: 0.2356 0.2356 0.0000  1 Be 2.10
Ir: 0.7644 0.7644 0.4713  1 Be 2.10